## Th2PaIn (PBE)

Data for Th2PaIn after structural relaxation.

The structure in POSCAR format:
```
Th2PaIn
1.0
-1.224 -0.466 3.251
-2.609 -2.267 0.582
6.097 -8.984 2.899
Th In Pa
2 1 1
Direct
0.250 0.250 0.249 Th
0.750 0.750 0.751 Th
0.500 0.500 0.500 In
0.000 0.000 0.000 Pa
```

- ΔE_f (meV/atom) = 63
- N(E_F) (states/eV/f.u.) = 6.8
- SG = R-3m (166)
- total energy (eV per atom) = -6.706
- E above lowest polymorph (eV/atom) = 0.0936
- magnetic moment (μB per formula unit) = 0.00

***

## Y2MnCu (PBE)

Data for Y2MnCu after structural relaxation.

The structure in POSCAR format:
```
Y2MnCu
1.0
-1.447 -0.008 4.217
0.021 -3.744 0.000
5.069 -1.839 1.736
Y Mn Cu
2 1 1
Direct
0.500 0.272 0.332 Y
0.000 0.979 0.917 Y
0.500 0.559 0.757 Mn
0.000 0.690 0.494 Cu
```

- ΔE_f (meV/atom) = -18
- N(E_F) (states/eV/f.u.) = 4.3
- SG = Amm2 (38)
- total energy (eV per atom) = -6.566
- magnetic moment (μB per formula unit) = 2.60

***

## Er2PaTi (PBE)

Data for Er2PaTi after structural relaxation.

The structure in POSCAR format:
```
Er2PaTi
1.0
3.261 0.000 0.000
1.630 2.824 0.000
1.630 0.941 11.379
Ti Pa Er
1 1 2
Direct
0.000 0.000 0.000 Ti
0.500 0.500 0.500 Pa
0.086 0.086 0.743 Er
0.914 0.914 0.257 Er
```

- ΔE_f (meV/atom) = 410
- N(E_F) (states/eV/f.u.) = 5.9
- SG = R-3m (166)
- total energy (eV per atom) = -6.219
- magnetic moment (μB per formula unit) = 1.63

***

## ScInSn2 (PBE)

Data for ScInSn2 after structural relaxation.

The structure in POSCAR format:
```
ScInSn2
1.0
4.386 0.000 0.000
0.000 4.695 0.000
0.000 0.000 4.695
Sn In Sc
2 1 1
Direct
0.000 0.000 0.500 Sn
0.000 0.500 0.000 Sn
0.500 0.500 0.500 In
0.500 0.000 0.000 Sc
```

- ΔE_f (meV/atom) = -282
- N(E_F) (states/eV/f.u.) = 2.6
- SG = P4/mmm (123)
- total energy (eV per atom) = -4.550
- magnetic moment (μB per formula unit) = 0.00

***

## NiSb2PtPb (PBE)

Data for NiSb2PtPb after structural relaxation.

The structure in POSCAR format:
```
NiSb2PtPb
1.0
5.273 0.000 0.000
0.000 4.778 0.000
0.000 0.000 5.273
Pt Sb Pb Ni
1 2 1 1
Direct
0.000 0.000 0.000 Pt
0.500 0.000 0.000 Sb
0.000 0.000 0.500 Sb
0.500 0.500 0.500 Pb
0.000 0.500 0.000 Ni
```

- N(E_F) (states/eV/f.u.) = 5.4
- SG = P4/mmm (123)
- total energy (eV per atom) = -4.355
- magnetic moment (μB per formula unit) = 0.86

***

## YSb2Pd (PBE)

Data for YSb2Pd after structural relaxation.

The structure in POSCAR format:
```
YSb2Pd
1.0
-0.086 -1.170 4.526
2.748 -3.675 -0.898
9.102 3.009 3.366
Pd Sb Y
2 4 2
Direct
0.000 0.000 0.000 Pd
0.750 0.250 0.500 Pd
0.672 0.125 0.250 Sb
0.875 0.922 0.750 Sb
0.078 0.625 0.250 Sb
0.375 0.328 0.750 Sb
0.500 0.500 0.000 Y
0.250 0.750 0.500 Y
```

- N(E_F) (states/eV/f.u.) = 3.1
- SG = I-42d (122)
- total energy (eV per atom) = -5.431
- magnetic moment (μB per formula unit) = 0.00